Record 1
# Tb3PrDy4S8 | Alexandria via LeMat-Bulk | PBE | relaxed
data_Tb3PrDy4S8
_chemical_formula_sum 'Tb9 Pr3 Dy12 S24'
_space_group_name_H-M_alt 'R -3 m'
_space_group_IT_number 166
_space_group_name_Hall '-R 3 2"'
_cell_length_a 7.8764
_cell_length_b 7.8764
_cell_length_c 19.3275
_cell_angle_alpha 90.00
_cell_angle_beta 90.00
_cell_angle_gamma 120.00
loop_
_atom_site_label
_atom_site_type_symbol
_atom_site_fract_x
_atom_site_fract_y
_atom_site_fract_z
_atom_site_occupancy
Tb1 Tb 0.0000 0.5000 0.0000 1
Pr1 Pr 0.0000 0.0000 0.0000 1
Dy1 Dy 0.0000 0.0000 0.5000 1
Dy2 Dy 0.0000 0.5000 0.5000 1
S1 S 0.0000 0.0000 0.2492 1
S2 S 0.0072 0.5036 0.2474 1
# **Crystal system**: trigonal

***

Record 2
# Tb2PrDy3S6 | Alexandria via LeMat-Bulk | PBE | relaxed
data_Tb2PrDy3S6
_chemical_formula_sum 'Tb4 Pr2 Dy6 S12'
_space_group_name_H-M_alt 'C 1 2/m 1'
_space_group_IT_number 12
_cell_length_a 6.8189
_cell_length_b 11.8515
_cell_length_c 6.8422
_cell_angle_alpha 90.00
_cell_angle_beta 109.45
_cell_angle_gamma 90.00
loop_
_space_group_symop_operation_xyz
'x,y,z'
'-x,-y,-z'
'-x,y,-z'
'x,-y,z'
'x+1/2,y+1/2,z'
'-x+1/2,-y+1/2,-z'
'-x+1/2,y+1/2,-z'
'x+1/2,-y+1/2,z'
loop_
_atom_site_label
_atom_site_type_symbol
_atom_site_fract_x
_atom_site_fract_y
_atom_site_fract_z
_atom_site_occupancy
Tb1 Tb 0.0000 0.1660 0.0000 1
Pr1 Pr 0.0000 0.5000 0.0000 1
Dy1 Dy 0.0000 0.0000 0.5000 1
Dy2 Dy 0.0000 0.3376 0.5000 1
S1 S 0.2425 0.0000 0.2551 1
S2 S 0.2425 0.1714 0.7417 1
# **Crystal system**: monoclinic

***

Record 3
# Pr3Dy2ThS6 | Alexandria via LeMat-Bulk | PBE | relaxed
data_Pr3Dy2ThS6
_chemical_formula_sum 'Pr6 Dy4 Th2 S12'
_space_group_name_H-M_alt 'C 1 2/m 1'
_space_group_IT_number 12
_cell_length_a 6.9448
_cell_length_b 12.0714
_cell_length_c 7.0241
_cell_angle_alpha 90.00
_cell_angle_beta 109.51
_cell_angle_gamma 90.00
loop_
_space_group_symop_operation_xyz
'x,y,z'
'-x,-y,-z'
'-x,y,-z'
'x,-y,z'
'x+1/2,y+1/2,z'
'-x+1/2,-y+1/2,-z'
'-x+1/2,y+1/2,-z'
'x+1/2,-y+1/2,z'
loop_
_atom_site_label
_atom_site_type_symbol
_atom_site_fract_x
_atom_site_fract_y
_atom_site_fract_z
_atom_site_occupancy
Pr1 Pr 0.0000 0.0000 0.0000 1
Pr2 Pr 0.0000 0.3346 0.0000 1
Dy1 Dy 0.0000 0.1668 0.5000 1
Th1 Th 0.0000 0.5000 0.5000 1
S1 S 0.2383 0.0000 0.7348 1
S2 S 0.2486 0.3300 0.7362 1
# **Crystal system**: monoclinic

***

Record 4
# Pr3DyTh2S6 | Alexandria via LeMat-Bulk | PBE | relaxed
data_Pr3DyTh2S6
_chemical_formula_sum 'Pr6 Dy2 Th4 S12'
_space_group_name_H-M_alt 'C 1 2/m 1'
_space_group_IT_number 12
_cell_length_a 7.0219
_cell_length_b 12.1318
_cell_length_c 7.0265
_cell_angle_alpha 90.00
_cell_angle_beta 109.46
_cell_angle_gamma 90.00
loop_
_space_group_symop_operation_xyz
'x,y,z'
'-x,-y,-z'
'-x,y,-z'
'x,-y,z'
'x+1/2,y+1/2,z'
'-x+1/2,-y+1/2,-z'
'-x+1/2,y+1/2,-z'
'x+1/2,-y+1/2,z'
loop_
_atom_site_label
_atom_site_type_symbol
_atom_site_fract_x
_atom_site_fract_y
_atom_site_fract_z
_atom_site_occupancy
Pr1 Pr 0.0000 0.0000 0.0000 1
Pr2 Pr 0.0000 0.3320 0.0000 1
Dy1 Dy 0.0000 0.5000 0.5000 1
Th1 Th 0.0000 0.1666 0.5000 1
S1 S 0.2432 0.3367 0.7402 1
S2 S 0.2456 0.5000 0.2581 1
# **Crystal system**: monoclinic

***

Record 5
# PrDy2ThS4 | Alexandria via LeMat-Bulk | PBE | relaxed
data_PrDy2ThS4
_chemical_formula_sum 'Pr1 Dy2 Th1 S4'
_space_group_name_H-M_alt 'P 1 2/m 1'
_space_group_IT_number 10
_cell_length_a 6.8631
_cell_length_b 3.9439
_cell_length_c 7.0080
_cell_angle_alpha 90.00
_cell_angle_beta 108.95
_cell_angle_gamma 90.00
loop_
_space_group_symop_operation_xyz
'x,y,z'
'-x,-y,-z'
'-x,y,-z'
'x,-y,z'
loop_
_atom_site_label
_atom_site_type_symbol
_atom_site_fract_x
_atom_site_fract_y
_atom_site_fract_z
_atom_site_occupancy
Pr1 Pr 0.0000 0.0000 0.0000 1
Dy1 Dy 0.0000 0.5000 0.5000 1
Dy2 Dy 0.5000 0.0000 0.5000 1
Th1 Th 0.5000 0.5000 0.0000 1
S1 S 0.2467 0.0000 0.7343 1
S2 S 0.2580 0.5000 0.2671 1
# **Crystal system**: monoclinic

***

Record 6
# Pr2DyThS4 | Alexandria via LeMat-Bulk | PBE | relaxed
data_Pr2DyThS4
_chemical_formula_sum 'Pr2 Dy1 Th1 S4'
_space_group_name_H-M_alt 'P 1 2/m 1'
_space_group_IT_number 10
_cell_length_a 7.0086
_cell_length_b 4.0136
_cell_length_c 7.0234
_cell_angle_alpha 90.00
_cell_angle_beta 109.15
_cell_angle_gamma 90.00
loop_
_space_group_symop_operation_xyz
'x,y,z'
'-x,-y,-z'
'-x,y,-z'
'x,-y,z'
loop_
_atom_site_label
_atom_site_type_symbol
_atom_site_fract_x
_atom_site_fract_y
_atom_site_fract_z
_atom_site_occupancy
Pr1 Pr 0.0000 0.0000 0.0000 1
Pr2 Pr 0.0000 0.5000 0.5000 1
Dy1 Dy 0.5000 0.0000 0.5000 1
Th1 Th 0.5000 0.5000 0.0000 1
S1 S 0.2592 0.0000 0.7463 1
S2 S 0.2645 0.5000 0.2609 1
# **Crystal system**: monoclinic

***

Record 7
# Pr2DyTh3S6 | Alexandria via LeMat-Bulk | PBE | relaxed
data_Pr2DyTh3S6
_chemical_formula_sum 'Pr4 Dy2 Th6 S12'
_space_group_name_H-M_alt 'C 1 2/m 1'
_space_group_IT_number 12
_cell_length_a 17.6799
_cell_length_b 4.0363
_cell_length_c 8.0931
_cell_angle_alpha 90.00
_cell_angle_beta 104.19
_cell_angle_gamma 90.00
loop_
_space_group_symop_operation_xyz
'x,y,z'
'-x,-y,-z'
'-x,y,-z'
'x,-y,z'
'x+1/2,y+1/2,z'
'-x+1/2,-y+1/2,-z'
'-x+1/2,y+1/2,-z'
'x+1/2,-y+1/2,z'
loop_
_atom_site_label
_atom_site_type_symbol
_atom_site_fract_x
_atom_site_fract_y
_atom_site_fract_z
_atom_site_occupancy
Pr1 Pr 0.1658 0.0000 0.3327 1
Dy1 Dy 0.0000 0.5000 0.0000 1
Th1 Th 0.0000 0.5000 0.5000 1
Th2 Th 0.1689 0.0000 0.8343 1
S1 S 0.0024 0.0000 0.7606 1
S2 S 0.1620 0.5000 0.0787 1
S3 S 0.1666 0.5000 0.5852 1
# **Crystal system**: monoclinic

***

Record 8
# PrDy3Th4S8 | Alexandria via LeMat-Bulk | PBE | relaxed
data_PrDy3Th4S8
_chemical_formula_sum 'Pr3 Dy9 Th12 S24'
_space_group_name_H-M_alt 'R -3 m'
_space_group_IT_number 166
_space_group_name_Hall '-R 3 2"'
_cell_length_a 7.8820
_cell_length_b 7.8820
_cell_length_c 20.1608
_cell_angle_alpha 90.00
_cell_angle_beta 90.00
_cell_angle_gamma 120.00
loop_
_atom_site_label
_atom_site_type_symbol
_atom_site_fract_x
_atom_site_fract_y
_atom_site_fract_z
_atom_site_occupancy
Pr1 Pr 0.0000 0.0000 0.0000 1
Dy1 Dy 0.0000 0.5000 0.0000 1
Th1 Th 0.0000 0.0000 0.5000 1
Th2 Th 0.0000 0.5000 0.5000 1
S1 S 0.0000 0.0000 0.2552 1
S2 S 0.0078 0.5039 0.2535 1
# **Crystal system**: trigonal

***

Record 9
# PrDyTl2S4 | Alexandria via LeMat-Bulk | PBE | relaxed
data_PrDyTl2S4
_chemical_formula_sum 'Pr1 Dy1 Tl2 S4'
_space_group_name_H-M_alt 'P 1 2/m 1'
_space_group_IT_number 10
_cell_length_a 7.1478
_cell_length_b 4.1234
_cell_length_c 7.8745
_cell_angle_alpha 90.00
_cell_angle_beta 107.57
_cell_angle_gamma 90.00
loop_
_space_group_symop_operation_xyz
'x,y,z'
'-x,-y,-z'
'-x,y,-z'
'x,-y,z'
loop_
_atom_site_label
_atom_site_type_symbol
_atom_site_fract_x
_atom_site_fract_y
_atom_site_fract_z
_atom_site_occupancy
Pr1 Pr 0.0000 0.0000 0.0000 1
Dy1 Dy 0.5000 0.5000 0.0000 1
Tl1 Tl 0.0000 0.5000 0.5000 1
Tl2 Tl 0.5000 0.0000 0.5000 1
S1 S 0.2442 0.5000 0.2036 1
S2 S 0.2762 0.0000 0.8004 1
# **Crystal system**: monoclinic

***

Record 10
# Pr2DyTl3S6 | Alexandria via LeMat-Bulk | PBE | relaxed
data_Pr2DyTl3S6
_chemical_formula_sum 'Pr4 Dy2 Tl6 S12'
_space_group_name_H-M_alt 'C 1 2/m 1'
_space_group_IT_number 12
_cell_length_a 7.2007
_cell_length_b 12.4671
_cell_length_c 7.8742
_cell_angle_alpha 90.00
_cell_angle_beta 107.73
_cell_angle_gamma 90.00
loop_
_space_group_symop_operation_xyz
'x,y,z'
'-x,-y,-z'
'-x,y,-z'
'x,-y,z'
'x+1/2,y+1/2,z'
'-x+1/2,-y+1/2,-z'
'-x+1/2,y+1/2,-z'
'x+1/2,-y+1/2,z'
loop_
_atom_site_label
_atom_site_type_symbol
_atom_site_fract_x
_atom_site_fract_y
_atom_site_fract_z
_atom_site_occupancy
Pr1 Pr 0.0000 0.1667 0.0000 1
Dy1 Dy 0.0000 0.5000 0.0000 1
Tl1 Tl 0.0000 0.0000 0.5000 1
Tl2 Tl 0.0000 0.3327 0.5000 1
S1 S 0.2288 0.3387 0.2022 1
S2 S 0.2454 0.0000 0.2045 1
# **Crystal system**: monoclinic

***

Number 1: raw total energy -306.0 eV per cell. Number 2: raw total energy -153.3 eV per cell. Number 3: raw total energy -158.9 eV per cell. Number 4: raw total energy -163.7 eV per cell. Number 5: raw total energy -53.6 eV per cell. Number 6: raw total energy -53.8 eV per cell. Number 7: raw total energy -168.1 eV per cell. Number 8: raw total energy -335.6 eV per cell. Number 9: raw total energy -42.3 eV per cell. Number 10: raw total energy -127.0 eV per cell.